# LaTbNd2S4 | Alexandria via LeMat-Bulk | GGA-PBE | relaxed
# N(E_F)	0.627	states/eV/atom
# formation energy from raw total energies	-2.05	eV per atom
# raw total energy	-6.501	eV/atom
# ρ	6.3	g/cm³
data_LaTbNd2S4
_cell_length_a 7.027
_cell_length_b 4.025
_cell_length_c 7.069
_cell_angle_alpha 90.00
_cell_angle_beta 109.11
_cell_angle_gamma 90.00
_symmetry_space_group_name_H-M 'P 1 2/m 1'
_symmetry_Int_Tables_number 10
_symmetry_space_group_name_Hall '-P 2y'
loop_
_atom_site_label
_atom_site_type_symbol
_atom_site_fract_x
_atom_site_fract_y
_atom_site_fract_z
La1 La 0.000 0.000 0.000
Tb1 Tb 0.000 0.500 0.500
Nd1 Nd 0.500 0.000 0.500
Nd2 Nd 0.500 0.500 0.000
S1 S 0.242 0.000 0.739
S2 S 0.248 0.500 0.258